PBE with a Hubbard U Fe2PdF, optimized geometry; DOS at the Fermi energy = 0.6442 states/eV/atom; mass density = 6.9 g/cm³; E = -4.54 eV/atom; space group = Fm-3m, No. 225; magnetic moment = 7.050 μB/f.u.
1.0
0.0000 3.0600 3.0600
3.0600 0.0000 3.0600
3.0600 3.0600 0.0000
Pd F Fe
1 1 2
direct
0.5000 0.5000 0.5000
0.0000 0.0000 0.0000
0.7500 0.7500 0.7500
0.2500 0.2500 0.2500